! Ag4RuCl | the Alexandria database | PBE | relaxed; values from VASP
&SYSTEM
  ibrav = 0, nat = 6, ntyp = 3
/
ATOMIC_SPECIES
Ru 101.07 Ru.upf
Ag 107.87 Ag.upf
Cl 35.45 Cl.upf
ATOMIC_POSITIONS angstrom
Ru 0.000 0.000 0.000
Ag -2.446 -4.094 -1.675
Ag -4.923 -5.280 -1.964
Ag -2.982 -5.650 -3.893
Ag -2.706 -6.831 -1.412
Cl -4.896 -8.196 -3.354
CELL_PARAMETERS angstrom
-0.518 -5.458 0.526
-4.941 -2.365 -0.576
-1.069 -3.104 -4.423
! * crystal system: cubic
! * final energy: -3.0877 eV/atom
! * total magnetic moment: 0.444 μB/atom
! * raw formation energy: 0.6669 eV/atom

---

! Ba3ZnBi2O9 | the Alexandria database | PBE | relaxed; values from VASP
&SYSTEM
  ibrav = 0, nat = 15, ntyp = 4
/
ATOMIC_SPECIES
Ba 137.33 Ba.upf
O 16.00 O.upf
Bi 208.98 Bi.upf
Zn 65.41 Zn.upf
ATOMIC_POSITIONS angstrom
Ba 0.000 0.000 0.000
Ba 0.000 3.485 4.884
Ba 3.018 1.742 2.542
O -1.528 4.367 2.481
O -1.509 2.614 0.000
O 3.018 3.506 4.945
O 1.491 0.861 4.945
O 4.546 0.861 4.945
O 0.000 1.721 2.481
O 1.509 2.614 0.000
O 1.528 4.367 2.481
O 3.018 0.000 0.000
Bi 3.018 1.742 6.105
Bi 0.000 3.485 1.321
Zn 0.000 0.000 3.713
CELL_PARAMETERS angstrom
6.036 0.000 0.000
-3.018 5.227 0.000
0.000 0.000 7.426
! * crystal system: trigonal
! * final energy: -5.7089 eV/atom
! * total magnetic moment: 0.000 μB/atom
! * raw formation energy: -1.7470 eV/atom

---

! HfCo2Te | the Alexandria database | PBE | relaxed; values from VASP
&SYSTEM
  ibrav = 0, nat = 8, ntyp = 3
/
ATOMIC_SPECIES
Co 58.93 Co.upf
Hf 178.49 Hf.upf
Te 127.60 Te.upf
ATOMIC_POSITIONS angstrom
Co -8.769 -3.281 -1.872
Co -3.569 0.013 -1.417
Co -7.219 -2.153 0.292
Co -2.807 -2.646 -0.576
Hf 0.000 0.000 0.000
Hf -6.004 -0.668 -1.355
Te -1.569 -1.233 -2.198
Te -5.178 -3.366 -0.431
CELL_PARAMETERS angstrom
-2.395 1.465 -3.122
-0.743 -3.931 -1.274
-8.044 -1.568 2.611
! * crystal system: tetragonal
! * final energy: -6.6201 eV/atom
! * total magnetic moment: 0.000 μB/atom
! * raw formation energy: 0.2066 eV/atom

---

! Be3C | the Alexandria database | PBE | relaxed; values from VASP
&SYSTEM
  ibrav = 0, nat = 4, ntyp = 2
/
ATOMIC_SPECIES
C 12.01 C.upf
Be 9.01 Be.upf
ATOMIC_POSITIONS angstrom
C 0.000 0.000 0.000
Be -0.151 -1.430 0.917
Be -1.317 -0.483 -0.969
Be -1.072 0.794 1.062
CELL_PARAMETERS angstrom
-2.145 1.587 2.124
-2.634 -0.966 -1.938
-0.301 -2.859 1.834
! * crystal system: cubic
! * final energy: -4.7565 eV/atom
! * energy of formation: 33.2 kJ/mol of atoms
! * total magnetic moment: 0.000 μB/atom
! * E above lowest polymorph: 3.168 kcal/mol of atoms

---

! CsNa6Ag6 | the Alexandria database | PBE | relaxed; values from VASP
&SYSTEM
  ibrav = 0, nat = 13, ntyp = 3
/
ATOMIC_SPECIES
Ag 107.87 Ag.upf
Na 22.99 Na.upf
Cs 132.91 Cs.upf
ATOMIC_POSITIONS angstrom
Ag 3.316 1.637 7.456
Ag 4.085 3.770 1.594
Ag 2.673 -0.126 5.127
Ag 4.771 5.652 3.816
Ag 1.371 3.770 0.509
Ag -0.041 -0.126 4.042
Na 0.876 2.394 5.684
Na 1.782 4.894 3.418
Na 2.168 1.437 2.452
Na 4.452 2.571 4.615
Na 3.636 4.717 6.656
Na 5.919 5.851 8.819
Cs 0.000 0.000 0.000
CELL_PARAMETERS angstrom
5.429 0.000 2.170
2.741 7.541 1.018
-0.083 -0.253 8.083
! * crystal system: orthorhombic
! * final energy: -1.9972 eV/atom
! * energy of formation: -0.7 kJ/mol of atoms
! * total magnetic moment: 0.000 μB/atom

---

! CaAgB2 | the Alexandria database | PBE | relaxed; values from VASP
&SYSTEM
  ibrav = 0, nat = 4, ntyp = 3
/
ATOMIC_SPECIES
B 10.81 B.upf
Ag 107.87 Ag.upf
Ca 40.08 Ca.upf
ATOMIC_POSITIONS angstrom
B 4.567 4.567 4.567
B 1.522 1.522 1.522
Ag 3.045 3.045 3.045
Ca 0.000 0.000 0.000
CELL_PARAMETERS angstrom
0.000 3.045 3.045
3.045 0.000 3.045
3.045 3.045 0.000
! * crystal system: cubic
! * final energy: -3.6105 eV/atom
! * energy of formation: 90.8 kJ/mol of atoms
! * total magnetic moment: 0.000 μB/atom
! * E above lowest polymorph: 9.087 kcal/mol of atoms

---

! Be4MoBr2 | the Alexandria database | PBE | relaxed; values from VASP
&SYSTEM
  ibrav = 0, nat = 7, ntyp = 3
/
ATOMIC_SPECIES
Be 9.01 Be.upf
Br 79.90 Br.upf
Mo 95.94 Mo.upf
ATOMIC_POSITIONS angstrom
Be -0.977 -2.037 -0.512
Be 1.103 -0.978 1.787
Be -3.613 -1.949 4.168
Be -1.569 -5.511 3.960
Br -2.021 -2.403 2.936
Br -3.161 -5.057 5.191
Mo 0.000 0.000 0.000
CELL_PARAMETERS angstrom
-1.954 -4.075 -1.023
2.207 -1.956 3.574
-5.435 -1.429 5.577
! * crystal system: tetragonal
! * final energy: -3.1224 eV/atom
! * total magnetic moment: 0.391 μB/atom
! * raw formation energy: 1.0321 eV/atom

---

! La2MgGaIr | the Alexandria database | PBE | relaxed; values from VASP
&SYSTEM
  ibrav = 0, nat = 5, ntyp = 4
/
ATOMIC_SPECIES
La 138.91 La.upf
Ir 192.22 Ir.upf
Mg 24.30 Mg.upf
Ga 69.72 Ga.upf
ATOMIC_POSITIONS angstrom
La 2.509 -1.059 -0.364
La -0.722 -0.846 -2.513
Ir 0.000 0.000 0.000
Mg -0.791 -2.205 0.969
Ga 0.997 -4.110 -1.908
CELL_PARAMETERS angstrom
-1.443 -1.691 -5.026
5.018 -2.119 -0.728
-1.581 -4.411 1.938
! * crystal system: tetragonal
! * final energy: -5.0257 eV/atom
! * energy of formation: -34.6 kJ/mol of atoms
! * total magnetic moment: 0.000 μB/atom
! * E above lowest polymorph: 0.738 kcal/mol of atoms

---

! CaLa2Pm2Y2 | the Alexandria database | PBE | relaxed; values from VASP
&SYSTEM
  ibrav = 0, nat = 7, ntyp = 4
/
ATOMIC_SPECIES
La 138.91 La.upf
Pm 145.00 Pm.upf
Y 88.91 Y.upf
Ca 40.08 Ca.upf
ATOMIC_POSITIONS angstrom
La 4.910 3.553 1.848
La 2.810 2.266 -0.829
Pm 2.216 1.310 2.684
Pm 5.504 4.509 -1.666
Y 2.594 5.757 0.172
Y 5.125 0.062 0.846
Ca 0.000 0.000 0.000
CELL_PARAMETERS angstrom
-0.772 2.599 4.485
5.331 -3.543 -0.091
3.160 6.762 -3.375
! * crystal system: monoclinic
! * final energy: -4.8384 eV/atom
! * energy of formation: 5.8 kJ/mol of atoms
! * total magnetic moment: 0.000 μB/atom

---

Please write out number 9 again, unchanged.
! CaLa2Pm2Y2 | the Alexandria database | PBE | relaxed; values from VASP
&SYSTEM
  ibrav = 0, nat = 7, ntyp = 4
/
ATOMIC_SPECIES
La 138.91 La.upf
Pm 145.00 Pm.upf
Y 88.91 Y.upf
Ca 40.08 Ca.upf
ATOMIC_POSITIONS angstrom
La 4.910 3.553 1.848
La 2.810 2.266 -0.829
Pm 2.216 1.310 2.684
Pm 5.504 4.509 -1.666
Y 2.594 5.757 0.172
Y 5.125 0.062 0.846
Ca 0.000 0.000 0.000
CELL_PARAMETERS angstrom
-0.772 2.599 4.485
5.331 -3.543 -0.091
3.160 6.762 -3.375
! * crystal system: monoclinic
! * final energy: -4.8384 eV/atom
! * energy of formation: 5.8 kJ/mol of atoms
! * total magnetic moment: 0.000 μB/atom

---

- Among the records above, which one has the highest total magnetic moment?
  Ag4RuCl